1.
A plane-wave DFT calculation with PBE was carried out for a geometry-optimized PuMg5Au6 structure.

Properties
- Total DFT energy (no corrections): -48.34 eV for the cell shown
- Space-group type: P2/m (10)
- Calculated formation energy: -531 meV per atom

a b c (Å): 4.7847 6.7948 7.5907
angles (deg): 90.00 109.01 90.00
With the nearest neighbours (Å) after each atom.
Element x y z (fractional)
Au 0.8258 0.2640 0.6528  7 Mg 2.85-3.00, 1 Pu 3.07
Au 0.1742 0.7360 0.3472  7 Mg 2.85-3.00, 1 Pu 3.07
Au 0.5000 0.7309 0.0000  6 Mg 2.81-3.06, 2 Pu 3.01, 1 Au 3.14
Au 0.8258 0.7360 0.6528  7 Mg 2.85-3.00, 1 Pu 3.07
Au 0.1742 0.2640 0.3472  7 Mg 2.85-3.00, 1 Pu 3.07
Au 0.5000 0.2691 0.0000  6 Mg 2.81-3.06, 2 Pu 3.01, 1 Au 3.14
Mg 0.0000 0.5000 0.0000  8 Au 2.86-2.96
Mg 0.6620 0.5000 0.3247  8 Au 2.81-2.89
Mg 0.3380 0.5000 0.6753  8 Au 2.81-2.89
Mg 0.6725 0.0000 0.3416  8 Au 2.86-3.06
Mg 0.3275 0.0000 0.6584  8 Au 2.86-3.06
Pu 0.0000 0.0000 0.0000  8 Au 3.01-3.07

***

2.
A plane-wave DFT calculation with PBE was carried out for a geometry-optimized SmHoSnHg structure.

Properties
- Energy relative to the lowest polymorph listed for this composition: 0.00 eV per formula unit
- Total DFT energy (no corrections): -15.88 eV for the cell shown
- Space-group type: F-43m (216)
- Calculated formation energy: -569 meV per atom

a b c (Å): 5.3254 5.3254 5.3254
angles (deg): 60.00 60.00 60.00
With the nearest neighbours (Å) after each atom.
Element x y z (fractional)
Sm 0.5000 0.5000 0.5000  4 Hg 3.26, 4 Sn 3.26
Ho 0.0000 0.0000 0.0000  4 Hg 3.26, 4 Sn 3.26
Hg 0.2500 0.2500 0.2500  4 Sm 3.26, 4 Ho 3.26
Sn 0.7500 0.7500 0.7500  4 Ho 3.26, 4 Sm 3.26

***

3.
A plane-wave DFT calculation with PBE was carried out for a geometry-optimized ZrAl2Si2 structure.

Properties
- Energy relative to the elements, uncorrected: -214.3 meV per atom
- Total DFT energy (no corrections): -55.90 eV for the cell shown
- Space-group type: P4/mbm (127)

a b c (Å): 6.9579 6.9579 3.5050
angles (deg): 90.00 90.00 90.00
With the nearest neighbours (Å) after each atom.
Element x y z (fractional)
Al 0.6643 0.8357 0.5000  6 Si 2.69-2.70
Al 0.3357 0.1643 0.5000  6 Si 2.69-2.70
Al 0.8357 0.3357 0.5000  6 Si 2.69-2.70
Al 0.1643 0.6643 0.5000  6 Si 2.69-2.70
Si 0.3727 0.8727 0.0000  1 Si 2.50, 6 Al 2.69-2.70, 2 Zr 2.74
Si 0.8727 0.6273 0.0000  1 Si 2.50, 6 Al 2.69-2.70, 2 Zr 2.74
Si 0.6273 0.1273 0.0000  1 Si 2.50, 6 Al 2.69-2.70, 2 Zr 2.74
Si 0.1273 0.3727 0.0000  1 Si 2.50, 6 Al 2.69-2.70, 2 Zr 2.74
Zr 0.0000 0.0000 0.0000  4 Si 2.74
Zr 0.5000 0.5000 0.0000  4 Si 2.74

***

4.
A plane-wave DFT calculation with PBE was carried out for a geometry-optimized BaPt2Au structure.

Properties
- Energy relative to the lowest polymorph listed for this composition: 1.53 eV per formula unit
- Total DFT energy (no corrections): -17.95 eV for the cell shown
- Space-group type: P4mm (99)
- Calculated formation energy: -167 meV per atom

a b c (Å): 3.6152 3.6121 7.2859
angles (deg): 90.00 90.00 90.00
With the nearest neighbours (Å) after each atom.
Element x y z (fractional)
Pt 0.0000 0.0000 0.0888  4 Pt 2.66, 1 Au 2.75
Pt 0.5000 0.5000 0.1890  4 Pt 2.66
Au 0.0000 0.0000 0.4660  1 Pt 2.75
Ba 0.5000 0.5000 0.7562  5 Pt 3.15-3.52, 4 Au 3.32

***

5.
A plane-wave DFT calculation with PBE was carried out for a geometry-optimized PrPaAs2O structure.

Properties
- Energy relative to the elements, uncorrected: -1579.1 meV per atom
- Total DFT energy (no corrections): -72.86 eV for the cell shown
- Space-group type: P4/nmm (129)

a b c (Å): 4.0559 4.0559 14.8479
angles (deg): 90.00 90.00 90.00
With the nearest neighbours (Å) after each atom.
Element x y z (fractional)
Pr 0.5000 0.0000 0.5816  4 O 2.36
Pr 0.0000 0.5000 0.4184  4 O 2.36
As 0.0000 0.5000 0.0865  5 Pa 2.90-2.98
As 0.5000 0.0000 0.9135  5 Pa 2.90-2.98
As 0.5000 0.0000 0.2946  1 Pa 2.68
As 0.0000 0.5000 0.7054  1 Pa 2.68
O 0.0000 0.0000 0.5000  4 Pr 2.36
O 0.5000 0.5000 0.5000  4 Pr 2.36
Pa 0.5000 0.0000 0.1145  6 As 2.68-2.98
Pa 0.0000 0.5000 0.8855  6 As 2.68-2.98

***

6.
A plane-wave DFT calculation with PBE was carried out for a geometry-optimized NdY3Th2As6 structure.

Properties
- Total DFT energy (no corrections): -84.99 eV for the cell shown
- Space-group type: C2/m (12)
- Calculated formation energy: -1508 meV per atom

a b c (Å): 4.2036 8.3684 9.3663
angles (deg): 102.64 102.97 90.00
With the nearest neighbours (Å) after each atom.
Element x y z (fractional)
Nd 0.5000 0.0000 0.0000  6 As 3.00-3.01
As 0.6656 0.5867 0.3311  3 Y 2.95, 3 Th 3.00-3.01
As 0.0012 0.7441 0.0023  3 Y 2.92-2.93, 1 Th 2.97, 2 Nd 3.00
As 0.3344 0.4133 0.6689  3 Y 2.95, 3 Th 3.00-3.01
As 0.6690 0.0802 0.3379  3 Y 2.94, 2 Th 2.98, 1 Nd 3.01
As 0.3310 0.9198 0.6621  3 Y 2.94, 2 Th 2.98, 1 Nd 3.01
As 0.9988 0.2559 0.9977  3 Y 2.92-2.93, 1 Th 2.97, 2 Nd 3.00
Y 0.8345 0.1663 0.6689  6 As 2.92-2.95
Y 0.1655 0.8337 0.3311  6 As 2.92-2.95
Y 0.5000 0.5000 0.0000  6 As 2.93-2.95
Th 0.1655 0.3310 0.3310  6 As 2.97-3.01
Th 0.8345 0.6690 0.6690  6 As 2.97-3.01